<w>
Below is a geometry-optimized Lu2MgIr structure, with properties calculated at the PBE level.

Cell and atoms, written as CIF:
```
data_Lu2MgIr
_symmetry_space_group_name_H-M 'F m -3 m'
_symmetry_Int_Tables_number 225
_symmetry_space_group_name_Hall '-F 4 2 3'
_cell_length_a 6.954
_cell_length_b 6.954
_cell_length_c 6.954
_cell_angle_alpha 90.00
_cell_angle_beta 90.00
_cell_angle_gamma 90.00
loop_
_atom_site_label
_atom_site_fract_x
_atom_site_fract_y
_atom_site_fract_z
Lu1 0.250 0.250 0.250
Mg1 0.000 0.000 0.000
Ir1 0.000 0.000 0.500
```

Properties
DOS at the Fermi energy: 2.1 states/eV/f.u.
volume: 21.02 Å³ per atom

<x>
Below is a geometry-optimized Lu2MgIr structure, with properties calculated at the PBE level.

Cell and atoms, written as CIF:
```
data_Lu2MgIr
_symmetry_space_group_name_H-M 'P 4/m m m'
_symmetry_Int_Tables_number 123
_symmetry_space_group_name_Hall '-P 4 2'
_cell_length_a 3.470
_cell_length_b 3.470
_cell_length_c 7.484
_cell_angle_alpha 90.00
_cell_angle_beta 90.00
_cell_angle_gamma 90.00
loop_
_atom_site_label
_atom_site_fract_x
_atom_site_fract_y
_atom_site_fract_z
Lu1 0.000 0.000 0.209
Mg1 0.500 0.500 0.500
Ir1 0.500 0.500 0.000
```

Properties
DOS at the Fermi energy: 2.4 states/eV/f.u.
volume: 22.53 Å³ per atom

So which one is most stable? That would be <x>, about 3.5 kJ/mol of atoms below the next structure.

<w>
Below is a geometry-optimized LuNbIr2 structure, with properties calculated at the PBE level.

Cell and atoms, written as CIF:
```
data_LuNbIr2
_symmetry_space_group_name_H-M 'P 4/m m m'
_symmetry_Int_Tables_number 123
_symmetry_space_group_name_Hall '-P 4 2'
_cell_length_a 3.060
_cell_length_b 3.060
_cell_length_c 7.472
_cell_angle_alpha 90.00
_cell_angle_beta 90.00
_cell_angle_gamma 90.00
loop_
_atom_site_label
_atom_site_fract_x
_atom_site_fract_y
_atom_site_fract_z
Lu1 0.000 0.000 0.000
Nb1 0.000 0.000 0.500
Ir1 0.500 0.500 0.266
```

Properties
DOS at the Fermi energy: 4.9 states/eV/f.u.
volume: 17.49 Å³ per atom

<x>
Below is a geometry-optimized LuNbIr2 structure, with properties calculated at the PBE level.

Cell and atoms, written as CIF:
```
data_LuNbIr2
_symmetry_space_group_name_H-M 'R -3 m'
_symmetry_Int_Tables_number 166
_symmetry_space_group_name_Hall '-R 3 2"'
_cell_length_a 4.5582
_cell_length_b 4.5582
_cell_length_c 11.9478
_cell_angle_alpha 90.00
_cell_angle_beta 90.00
_cell_angle_gamma 120.00
loop_
_atom_site_label
_atom_site_fract_x
_atom_site_fract_y
_atom_site_fract_z
Lu1 0.0000 0.0000 0.0000
Nb1 0.0000 0.0000 0.5000
Ir1 0.0000 0.0000 0.2356
```

Properties
DOS at the Fermi energy: 3.0 states/eV/f.u.
volume: 17.92 Å³ per atom

So which one is most stable? That would be <w>, about 8.9 kJ/mol of atoms below the next structure.

<w>
Below is a geometry-optimized NdLuIr structure, with properties calculated at the PBE level.

Cell and atoms, written as CIF:
```
data_NdLuIr
_symmetry_space_group_name_H-M 'P 3 m 1'
_symmetry_Int_Tables_number 156
_symmetry_space_group_name_Hall 'P 3 -2"'
_cell_length_a 4.1489
_cell_length_b 4.1489
_cell_length_c 6.1152
_cell_angle_alpha 90.00
_cell_angle_beta 90.00
_cell_angle_gamma 120.00
loop_
_atom_site_label
_atom_site_fract_x
_atom_site_fract_y
_atom_site_fract_z
Nd1 0.0000 0.0000 0.0000
Lu1 0.6667 0.3333 0.5392
Ir1 0.3333 0.6667 0.7497
```

Properties
DOS at the Fermi energy: 2.1 states/eV/f.u.
volume: 30.39 Å³ per atom

<x>
Below is a geometry-optimized NdLuIr structure, with properties calculated at the PBE level.

Cell and atoms, written as CIF:
```
data_NdLuIr
_symmetry_space_group_name_H-M 'F -4 3 m'
_symmetry_Int_Tables_number 216
_symmetry_space_group_name_Hall 'F -4 2 3'
_cell_length_a 6.850
_cell_length_b 6.850
_cell_length_c 6.850
_cell_angle_alpha 90.00
_cell_angle_beta 90.00
_cell_angle_gamma 90.00
loop_
_atom_site_label
_atom_site_fract_x
_atom_site_fract_y
_atom_site_fract_z
Nd1 0.000 0.000 0.000
Lu1 0.000 0.000 0.500
Ir1 0.250 0.250 0.750
```

Properties
DOS at the Fermi energy: 3.3 states/eV/f.u.
volume: 26.78 Å³ per atom

<y>
Below is a geometry-optimized NdLuIr structure, with properties calculated at the PBE level.

Cell and atoms, written as CIF:
```
data_NdLuIr
_symmetry_space_group_name_H-M 'I 4 m m'
_symmetry_Int_Tables_number 107
_symmetry_space_group_name_Hall 'I 4 -2'
_cell_length_a 3.483
_cell_length_b 3.483
_cell_length_c 12.786
_cell_angle_alpha 90.00
_cell_angle_beta 90.00
_cell_angle_gamma 90.00
loop_
_atom_site_label
_atom_site_fract_x
_atom_site_fract_y
_atom_site_fract_z
Nd1 0.000 0.000 0.000
Lu1 0.000 0.000 0.257
Ir1 0.000 0.000 0.641
```

Properties
DOS at the Fermi energy: 4.0 states/eV/f.u.
volume: 25.85 Å³ per atom

So which one is most stable? That would be <x>, about 9.9 kJ/mol of atoms below the next structure.

<w>
Below is a geometry-optimized Lu2NiIr structure, with properties calculated at the PBE level.

Cell and atoms, written as CIF:
```
data_Lu2NiIr
_symmetry_space_group_name_H-M 'P 4/m m m'
_symmetry_Int_Tables_number 123
_symmetry_space_group_name_Hall '-P 4 2'
_cell_length_a 4.764
_cell_length_b 4.764
_cell_length_c 3.264
_cell_angle_alpha 90.00
_cell_angle_beta 90.00
_cell_angle_gamma 90.00
loop_
_atom_site_label
_atom_site_fract_x
_atom_site_fract_y
_atom_site_fract_z
Lu1 0.000 0.500 0.000
Ni1 0.000 0.000 0.500
Ir1 0.500 0.500 0.500
```

Properties
DOS at the Fermi energy: 1.9 states/eV/f.u.
volume: 18.52 Å³ per atom

<x>
Below is a geometry-optimized Lu2NiIr structure, with properties calculated at the PBE level.

Cell and atoms, written as CIF:
```
data_Lu2NiIr
_symmetry_space_group_name_H-M 'F m -3 m'
_symmetry_Int_Tables_number 225
_symmetry_space_group_name_Hall '-F 4 2 3'
_cell_length_a 6.666
_cell_length_b 6.666
_cell_length_c 6.666
_cell_angle_alpha 90.00
_cell_angle_beta 90.00
_cell_angle_gamma 90.00
loop_
_atom_site_label
_atom_site_fract_x
_atom_site_fract_y
_atom_site_fract_z
Lu1 0.250 0.250 0.250
Ni1 0.000 0.000 0.000
Ir1 0.000 0.000 0.500
```

Properties
DOS at the Fermi energy: 2.0 states/eV/f.u.
volume: 18.51 Å³ per atom

So which one is most stable? That would be <x>, about 2.1 kJ/mol of atoms below the next structure.

<w>
Below is a geometry-optimized PmLuIr structure, with properties calculated at the PBE level.

Cell and atoms, written as CIF:
```
data_PmLuIr
_symmetry_space_group_name_H-M 'I 4 m m'
_symmetry_Int_Tables_number 107
_symmetry_space_group_name_Hall 'I 4 -2'
_cell_length_a 3.478
_cell_length_b 3.478
_cell_length_c 12.693
_cell_angle_alpha 90.00
_cell_angle_beta 90.00
_cell_angle_gamma 90.00
loop_
_atom_site_label
_atom_site_fract_x
_atom_site_fract_y
_atom_site_fract_z
Pm1 0.000 0.000 0.000
Lu1 0.000 0.000 0.257
Ir1 0.000 0.000 0.639
```

Properties
DOS at the Fermi energy: 3.8 states/eV/f.u.
volume: 25.59 Å³ per atom

<x>
Below is a geometry-optimized PmLuIr structure, with properties calculated at the PBE level.

Cell and atoms, written as CIF:
```
data_PmLuIr
_symmetry_space_group_name_H-M 'P 3 m 1'
_symmetry_Int_Tables_number 156
_symmetry_space_group_name_Hall 'P 3 -2"'
_cell_length_a 4.1315
_cell_length_b 4.1315
_cell_length_c 6.1017
_cell_angle_alpha 90.00
_cell_angle_beta 90.00
_cell_angle_gamma 120.00
loop_
_atom_site_label
_atom_site_fract_x
_atom_site_fract_y
_atom_site_fract_z
Pm1 0.0000 0.0000 0.0000
Lu1 0.6667 0.3333 0.4610
Ir1 0.3333 0.6667 0.2476
```

Properties
DOS at the Fermi energy: 2.1 states/eV/f.u.
volume: 30.07 Å³ per atom

<y>
Below is a geometry-optimized PmLuIr structure, with properties calculated at the PBE level.

Cell and atoms, written as CIF:
```
data_PmLuIr
_symmetry_space_group_name_H-M 'F -4 3 m'
_symmetry_Int_Tables_number 216
_symmetry_space_group_name_Hall 'F -4 2 3'
_cell_length_a 6.822
_cell_length_b 6.822
_cell_length_c 6.822
_cell_angle_alpha 90.00
_cell_angle_beta 90.00
_cell_angle_gamma 90.00
loop_
_atom_site_label
_atom_site_fract_x
_atom_site_fract_y
_atom_site_fract_z
Pm1 0.000 0.000 0.000
Lu1 0.000 0.000 0.500
Ir1 0.250 0.250 0.250
```

Properties
DOS at the Fermi energy: 3.3 states/eV/f.u.
volume: 26.46 Å³ per atom

So which one is most stable? That would be <y>, about 10.6 kJ/mol of atoms below the next structure.

<w>
Below is a geometry-optimized Pm2LuIr structure, with properties calculated at the PBE level.

Cell and atoms, written as CIF:
```
data_Pm2LuIr
_symmetry_space_group_name_H-M 'P 4/m m m'
_symmetry_Int_Tables_number 123
_symmetry_space_group_name_Hall '-P 4 2'
_cell_length_a 3.611
_cell_length_b 3.611
_cell_length_c 8.539
_cell_angle_alpha 90.00
_cell_angle_beta 90.00
_cell_angle_gamma 90.00
loop_
_atom_site_label
_atom_site_fract_x
_atom_site_fract_y
_atom_site_fract_z
Pm1 0.000 0.000 0.192
Lu1 0.500 0.500 0.500
Ir1 0.500 0.500 0.000
```

Properties
DOS at the Fermi energy: 4.2 states/eV/f.u.
volume: 27.84 Å³ per atom

<x>
Below is a geometry-optimized Pm2LuIr structure, with properties calculated at the PBE level.

Cell and atoms, written as CIF:
```
data_Pm2LuIr
_symmetry_space_group_name_H-M 'R -3 m'
_symmetry_Int_Tables_number 166
_symmetry_space_group_name_Hall '-R 3 2"'
_cell_length_a 3.7697
_cell_length_b 3.7697
_cell_length_c 31.7131
_cell_angle_alpha 90.00
_cell_angle_beta 90.00
_cell_angle_gamma 120.00
loop_
_atom_site_label
_atom_site_fract_x
_atom_site_fract_y
_atom_site_fract_z
Pm1 0.0000 0.0000 0.1109
Lu1 0.0000 0.0000 0.0000
Ir1 0.0000 0.0000 0.5000
```

Properties
DOS at the Fermi energy: 5.2 states/eV/f.u.
volume: 32.52 Å³ per atom

So which one is most stable? That would be <w>, about 21.5 kJ/mol of atoms below the next structure.